1.
A relaxed structure of Ce2TmHf, computed with PBE-GGA.

Formation enthalpy at 0 K in eV/atom: 0.16
ρ in g/cm3: 9.67
Energy above the lowest structure with this stoichiometry in kcal/mol of atoms: 0.60
DOS at the Fermi energy in states/eV/f.u.: 10.0
DFT total energy in eV per atom: -6.41

abc: 4.7035 4.7035 4.8719
angles: 90.00 90.00 90.00
Space group P4/mmm (No. 123)
Unique sites:
Ce1 0.0000 0.5000 0.0000 [2 per cell]
Tm1 0.0000 0.0000 0.5000 [1 per cell]
Hf1 0.5000 0.5000 0.5000 [1 per cell]

=====

2.
A relaxed structure of CeTmHfZr, computed with PBE-GGA.

Formation enthalpy at 0 K in eV/atom: 0.21
ρ in g/cm3: 9.42
DOS at the Fermi energy in states/eV/f.u.: 9.1
DFT total energy in eV per atom: -7.02

abc: 7.4169 7.4169 7.4169
angles: 90.00 90.00 90.00
Space group F-43m (No. 216)
Unique sites:
Ce1 0.0000 0.0000 0.0000 [4 per cell]
Tm1 0.2500 0.2500 0.7500 [4 per cell]
Hf1 0.2500 0.2500 0.2500 [4 per cell]
Zr1 0.0000 0.0000 0.5000 [4 per cell]

=====

3.
A relaxed structure of CeHfU, computed with PBE-GGA.

Formation enthalpy at 0 K in eV/atom: 0.33
ρ in g/cm3: 13.25
DOS at the Fermi energy in states/eV/f.u.: 7.7
DFT total energy in eV per atom: -8.73

abc: 5.8716 5.8716 42.0526
angles: 90.00 90.00 120.00
Space group R-3m (No. 166, hexagonal axes)
Unique sites:
Ce1 0.0116 0.5058 0.2751 [18 per cell]
Hf1 0.0000 0.0000 0.2296 [6 per cell]
Hf2 0.0000 0.0000 0.3211 [6 per cell]
Hf3 0.0000 0.0000 0.4626 [6 per cell]
U1 0.0000 0.0000 0.0000 [3 per cell]
U2 0.0000 0.0000 0.1104 [6 per cell]
U3 0.0000 0.5000 0.5000 [9 per cell]

=====

4.
A relaxed structure of CeHfV4, computed with PBE-GGA.

Formation enthalpy at 0 K in eV/atom: 0.14
ρ in g/cm3: 8.59
DOS at the Fermi energy in states/eV/f.u.: 6.7
DFT total energy in eV per atom: -8.59

abc: 7.3931 7.3931 7.3931
angles: 90.00 90.00 90.00
Space group F-43m (No. 216)
Unique sites:
Ce1 0.0000 0.0000 0.0000 [4 per cell]
Hf1 0.2500 0.2500 0.7500 [4 per cell]
V1 0.1253 0.1253 0.3747 [16 per cell]

=====

5.
A relaxed structure of CeHf2V, computed with PBE-GGA.

Formation enthalpy at 0 K in eV/atom: 0.55
ρ in g/cm3: 10.52
Energy above the lowest structure with this stoichiometry in kcal/mol of atoms: 8.83
DOS at the Fermi energy in states/eV/f.u.: 7.5
DFT total energy in eV per atom: -8.19

abc: 3.0284 3.0284 32.6717
angles: 90.00 90.00 120.00
Space group R-3m (No. 166, hexagonal axes)
Unique sites:
Ce1 0.0000 0.0000 0.0000 [3 per cell]
Hf1 0.0000 0.0000 0.4208 [6 per cell]
V1 0.0000 0.0000 0.5000 [3 per cell]

=====

6.
A relaxed structure of CeHf2V, computed with PBE-GGA.

Formation enthalpy at 0 K in eV/atom: 0.16
ρ in g/cm3: 10.44
Energy above the lowest structure with this stoichiometry in kcal/mol of atoms: 0.00
DOS at the Fermi energy in states/eV/f.u.: 7.3
DFT total energy in eV per atom: -8.58

abc: 3.2292 3.2292 8.3608
angles: 90.00 90.00 90.00
Space group P4/mmm (No. 123)
Unique sites:
Ce1 0.0000 0.0000 0.0000 [1 per cell]
Hf1 0.5000 0.5000 0.3026 [2 per cell]
V1 0.0000 0.0000 0.5000 [1 per cell]

=====

7.
A relaxed structure of Ce2HfZn, computed with PBE-GGA.

Formation enthalpy at 0 K in eV/atom: 0.18
ρ in g/cm3: 9.53
Energy above the lowest structure with this stoichiometry in kcal/mol of atoms: 4.38
DOS at the Fermi energy in states/eV/f.u.: 7.2
DFT total energy in eV per atom: -5.59

abc: 3.0364 3.0364 34.2960
angles: 90.00 90.00 120.00
Space group R-3m (No. 166, hexagonal axes)
Unique sites:
Ce1 0.0000 0.0000 0.0890 [6 per cell]
Hf1 0.0000 0.0000 0.0000 [3 per cell]
Zn1 0.0000 0.0000 0.5000 [3 per cell]

=====

8.
A relaxed structure of CeHf2Zn, computed with PBE-GGA.

Formation enthalpy at 0 K in eV/atom: 0.19
ρ in g/cm3: 10.80
Energy above the lowest structure with this stoichiometry in kcal/mol of atoms: 4.66
DOS at the Fermi energy in states/eV/f.u.: 4.7
DFT total energy in eV per atom: -6.59

abc: 3.0486 3.0486 32.2416
angles: 90.00 90.00 120.00
Space group R-3m (No. 166, hexagonal axes)
Unique sites:
Ce1 0.0000 0.0000 0.0000 [3 per cell]
Hf1 0.0000 0.0000 0.0944 [6 per cell]
Zn1 0.0000 0.0000 0.5000 [3 per cell]

=====

9.
A relaxed structure of CeHf2Zn9, computed with PBE-GGA.

Formation enthalpy at 0 K in eV/atom: -0.24
ρ in g/cm3: 8.86
DOS at the Fermi energy in states/eV/f.u.: 10.9
DFT total energy in eV per atom: -3.34

abc: 5.2820 5.2820 25.2563
angles: 90.00 90.00 120.00
Space group R-3m (No. 166, hexagonal axes)
Unique sites:
Ce1 0.0000 0.0000 0.0000 [3 per cell]
Hf1 0.0000 0.0000 0.1440 [6 per cell]
Zn1 0.0000 0.0000 0.3354 [6 per cell]
Zn2 0.0000 0.0000 0.5000 [3 per cell]
Zn3 0.0083 0.5042 0.9137 [18 per cell]

=====

10.
A relaxed structure of CeHf4Zn5, computed with PBE-GGA.

Formation enthalpy at 0 K in eV/atom: -0.18
ρ in g/cm3: 10.35
DOS at the Fermi energy in states/eV/f.u.: 8.3
DFT total energy in eV per atom: -5.39

abc: 3.3077 3.3077 17.3281
angles: 90.00 90.00 90.00
Space group P4/mmm (No. 123)
Unique sites:
Ce1 0.0000 0.0000 0.0000 [1 per cell]
Hf1 0.0000 0.0000 0.2143 [2 per cell]
Hf2 0.0000 0.0000 0.4050 [2 per cell]
Zn1 0.5000 0.5000 0.1218 [2 per cell]
Zn2 0.5000 0.5000 0.3101 [2 per cell]
Zn3 0.5000 0.5000 0.5000 [1 per cell]

=====

11.
A relaxed structure of CeHf2Zn, computed with PBE-GGA.

Formation enthalpy at 0 K in eV/atom: 0.04
ρ in g/cm3: 10.85
Energy above the lowest structure with this stoichiometry in kcal/mol of atoms: 1.30
DOS at the Fermi energy in states/eV/f.u.: 3.3
DFT total energy in eV per atom: -6.74

abc: 4.4946 4.4946 4.2609
angles: 90.00 90.00 90.00
Space group P4/mmm (No. 123)
Unique sites:
Ce1 0.0000 0.0000 0.0000 [1 per cell]
Hf1 0.0000 0.5000 0.5000 [2 per cell]
Zn1 0.5000 0.5000 0.0000 [1 per cell]

=====

12.
A relaxed structure of Ce2HfZn, computed with PBE-GGA.

Formation enthalpy at 0 K in eV/atom: -0.01
ρ in g/cm3: 9.25
Energy above the lowest structure with this stoichiometry in kcal/mol of atoms: 0.00
DOS at the Fermi energy in states/eV/f.u.: 8.7
DFT total energy in eV per atom: -5.78

abc: 3.1362 3.1362 9.5700
angles: 90.00 90.00 90.00
Space group P4/mmm (No. 123)
Unique sites:
Ce1 0.0000 0.0000 0.2373 [2 per cell]
Hf1 0.5000 0.5000 0.5000 [1 per cell]
Zn1 0.5000 0.5000 0.0000 [1 per cell]